Density functional theory data (PBE) for a geometry-optimized PrPuCuIr structure.

## Properties
For the formation energy from the elements, the calculation gives -0.262 eV/atom.

The structure in POSCAR format:
```
PrPuCuIr
1.0
0.000 3.522 3.522
3.522 0.000 3.522
3.522 3.522 0.000
Pr Pu Cu Ir
1 1 1 1
direct
0.000 0.000 0.000
0.500 0.500 0.500
0.750 0.750 0.750
0.250 0.250 0.250
```